[1]
VASP calculation (GGA-PBE) on crystalline LiMgAl2 at its relaxed geometry.

Cell lengths 9.3786, 9.3786, 9.3786 Å; angles 18.57, 18.57, 18.57 degrees
Fractional coordinates of all 4 atoms:
Al1 0.9975 0.9975 0.9975
Al2 0.5025 0.5025 0.5025
Mg1 0.7500 0.7500 0.7500
Li1 0.2500 0.2500 0.2500

D(E_F) = 0.6 states/eV/f.u.
space group = No. 166
energy of formation from the pure elements = -29.5 meV/atom



[2]
VASP calculation (GGA-PBE) on crystalline LiMgAl2 at its relaxed geometry.

Cell lengths 6.4812, 5.1519, 2.9291 Å; angles 90.48, 62.27, 119.78 degrees
Fractional coordinates of all 4 atoms:
Li1 0.0000 0.5000 0.5000
Al1 0.5000 0.0000 0.5000
Al2 0.0000 0.0000 0.0000
Mg1 0.5000 0.5000 0.0000

D(E_F) = 1.5 states/eV/f.u.
space group = No. 12
energy of formation from the pure elements = -57.3 meV/atom



[3]
VASP calculation (GGA-PBE) on crystalline Li12Mg3Al at its relaxed geometry.

Cell lengths 4.2331, 4.2331, 17.2315 Å; angles 90.00, 90.00, 90.00 degrees
Fractional coordinates of all 16 atoms:
Li1 0.0000 0.5000 0.3699
Li2 0.5000 0.5000 0.5000
Li3 0.5000 0.0000 0.6301
Li4 0.5000 0.0000 0.1126
Li5 0.5000 0.0000 0.3699
Li6 0.5000 0.5000 0.0000
Li7 0.0000 0.5000 0.6301
Li8 0.0000 0.5000 0.8874
Li9 0.5000 0.0000 0.8874
Li10 0.0000 0.5000 0.1126
Li11 0.5000 0.5000 0.7577
Li12 0.5000 0.5000 0.2423
Mg1 0.0000 0.0000 0.2394
Mg2 0.0000 0.0000 0.5000
Mg3 0.0000 0.0000 0.7606
Al1 0.0000 0.0000 0.0000

D(E_F) = 6.2 states/eV/f.u.
space group = No. 123
energy of formation from the pure elements = -34.3 meV/atom



[4]
VASP calculation (GGA-PBE) on crystalline LiMgAl2 at its relaxed geometry.

Cell lengths 3.0007, 3.0007, 9.4823 Å; angles 80.90, 80.90, 60.00 degrees
Fractional coordinates of all 4 atoms:
Li1 0.6662 0.6662 0.0013
Mg1 0.5003 0.5003 0.4991
Al1 0.2529 0.2529 0.2413
Al2 0.0806 0.0806 0.7583

D(E_F) = 1.1 states/eV/f.u.
space group = No. 160
energy of formation from the pure elements = -5.4 meV/atom



[5]
VASP calculation (GGA-PBE) on crystalline Li4Mg3Al at its relaxed geometry.

Cell lengths 3.1420, 4.8945, 10.5587 Å; angles 103.40, 90.01, 90.00 degrees
Fractional coordinates of all 8 atoms:
Li1 0.5008 0.2708 0.5417
Li2 0.4998 0.3962 0.7925
Li3 0.5002 0.6038 0.2075
Li4 0.4992 0.7292 0.4583
Mg1 0.9999 0.8595 0.7191
Mg2 0.0001 0.1405 0.2809
Mg3 0.5000 0.0000 0.0000
Al1 0.0000 0.5000 0.0000

D(E_F) = 2.4 states/eV/f.u.
space group = No. 65
energy of formation from the pure elements = -6.5 meV/atom



[6]
VASP calculation (GGA-PBE) on crystalline Li4Mg3Al at its relaxed geometry.

Cell lengths 6.8407, 6.7390, 6.7614 Å; angles 90.00, 90.00, 90.00 degrees
Fractional coordinates of all 16 atoms:
Li1 0.8138 0.9998 0.5000
Li2 0.0644 0.2666 0.2508
Li3 0.5644 0.7334 0.2492
Li4 0.8136 0.5004 0.5000
Li5 0.5644 0.7334 0.7508
Li6 0.0644 0.2666 0.7492
Li7 0.3138 0.0002 0.0000
Li8 0.3136 0.4996 0.0000
Mg1 0.3152 0.9991 0.5000
Mg2 0.5644 0.2638 0.2500
Mg3 0.0644 0.7362 0.7500
Mg4 0.0644 0.7362 0.2500
Mg5 0.8152 0.0009 0.0000
Mg6 0.5644 0.2638 0.7500
Al1 0.3150 0.5007 0.5000
Al2 0.8150 0.4993 0.0000

D(E_F) = 2.8 states/eV/f.u.
space group = No. 31
energy of formation from the pure elements = -61.2 meV/atom



[7]
VASP calculation (GGA-PBE) on crystalline Li4Mg7Al at its relaxed geometry.

Cell lengths 5.2454, 8.1344, 7.5018 Å; angles 63.74, 69.54, 71.19 degrees
Fractional coordinates of all 12 atoms:
Mg1 0.1880 0.1302 0.4938
Mg2 0.7655 0.2617 0.2073
Mg3 0.0820 0.5708 0.2651
Mg4 0.2345 0.7383 0.7927
Mg5 0.5000 0.0000 0.0000
Mg6 0.8120 0.8698 0.5062
Mg7 0.9180 0.4292 0.7349
Li1 0.5550 0.3007 0.5893
Li2 0.6771 0.6425 0.0032
Li3 0.3229 0.3575 0.9968
Li4 0.4450 0.6993 0.4107
Al1 0.0000 0.0000 0.0000

D(E_F) = 4.8 states/eV/f.u.
space group = No. 12
energy of formation from the pure elements = 85.8 meV/atom



[8]
VASP calculation (GGA-PBE) on crystalline Li12Mg7Al at its relaxed geometry.

Cell lengths 7.4314, 7.4314, 7.4314 Å; angles 93.70, 93.70, 93.70 degrees
Fractional coordinates of all 20 atoms:
Li1 0.1183 0.7487 0.2553
Li2 0.8817 0.2513 0.7447
Li3 0.2513 0.7447 0.8817
Li4 0.6238 0.1434 0.4912
Li5 0.7447 0.8817 0.2513
Li6 0.3762 0.8566 0.5088
Li7 0.5088 0.3762 0.8566
Li8 0.8566 0.5088 0.3762
Li9 0.4912 0.6238 0.1434
Li10 0.1434 0.4912 0.6238
Li11 0.2553 0.1183 0.7487
Li12 0.7487 0.2553 0.1183
Mg1 0.1496 0.3816 0.0608
Mg2 0.8504 0.6184 0.9392
Mg3 0.0608 0.1496 0.3816
Mg4 0.5000 0.5000 0.5000
Mg5 0.9392 0.8504 0.6184
Mg6 0.3816 0.0608 0.1496
Mg7 0.6184 0.9392 0.8504
Al1 0.0000 0.0000 0.0000

D(E_F) = 8.3 states/eV/f.u.
space group = No. 148
energy of formation from the pure elements = -1.9 meV/atom



[9]
VASP calculation (GGA-PBE) on crystalline Li7Mg2Al at its relaxed geometry.

Cell lengths 4.7370, 4.7370, 9.9204 Å; angles 90.00, 90.00, 120.00 degrees
Fractional coordinates of all 10 atoms:
Mg1 0.3333 0.6667 0.5653
Mg2 0.6667 0.3333 0.4359
Li1 0.3333 0.6667 0.8330
Li2 0.3333 0.6667 0.0577
Li3 0.0000 0.0000 0.2683
Li4 0.6667 0.3333 0.0945
Li5 0.6667 0.3333 0.8080
Li6 0.3333 0.6667 0.2994
Li7 0.0000 0.0000 0.6589
Al1 0.0000 0.0000 0.9624

D(E_F) = 3.9 states/eV/f.u.
space group = No. 156
energy of formation from the pure elements = 26.4 meV/atom



[10]
VASP calculation (GGA-PBE) on crystalline LiMgAl2 at its relaxed geometry.

Cell lengths 5.0708, 5.0708, 5.2391 Å; angles 80.32, 80.32, 33.24 degrees
Fractional coordinates of all 4 atoms:
Al1 0.9994 0.9994 0.0104
Al2 0.5006 0.5006 0.4896
Mg1 0.7500 0.7500 0.7500
Li1 0.2500 0.2500 0.2500

D(E_F) = 1.5 states/eV/f.u.
space group = No. 12
energy of formation from the pure elements = -12.2 meV/atom